ScBTe2N | PBE | optimized geometry

Values from the calculation:
energy above the lowest structure with this stoichiometry = 1089 meV per atom
N(E_F) = 5.42 states/eV/cell
symmetry = P4/mmm, No. 123
E_form (uncorrected) = 1021.3 meV/atom
calculated volume = 25.3 Å³/atom

Unit cell a=5.699 b=5.699 c=3.898 alpha=90.00 beta=90.00 gamma=90.00
Atoms (fractional coordinates):
Sc1 0.000 0.000 0.000
B1 0.500 0.500 0.500
Te1 0.000 0.500 0.000
Te2 0.500 0.000 0.000
N1 0.000 0.000 0.500